The following is a GGA-PBE calculation of an optimized crystal structure of BiRhS2, from the Alexandria database.

## Properties
- VASP energy (eV/atom) = -4.963
- raw formation energy (eV/atom) = -0.092

POSCAR file:
```
BiRhS2
1.0
1.894 1.093 8.065
-1.894 1.093 8.065
0.000 -2.186 8.065
Bi Rh S
1 1 2
direct
0.000 0.000 0.000
0.434 0.434 0.434
0.128 0.128 0.128
0.600 0.600 0.600
```